## Hf3Tl10Mo12PbO48 (GGA+U)

Data for a relaxed Hf3Tl10Mo12PbO48 crystal.

Lattice parameters (Å, degrees): 15.1770 15.1770 15.1770 41.78 41.78 41.78
With the nearest neighbours (Å) after each atom.
Element x y z (fractional)
Hf 0.0000 0.0000 0.0000  6 O 2.09
Hf 0.2483 0.2483 0.2483  6 O 2.08-2.09
Hf 0.7517 0.7517 0.7517  6 O 2.08-2.09
Tl 0.1506 0.1506 0.1506  3 O 2.78
Tl 0.1634 0.3582 0.7545  4 O 2.86-3.07
Tl 0.2455 0.8366 0.6418  4 O 2.86-3.07
Tl 0.3582 0.7545 0.1634  4 O 2.86-3.07
Tl 0.3672 0.3672 0.3672  6 O 2.81-2.98
Tl 0.6328 0.6328 0.6328  6 O 2.81-2.98
Tl 0.6418 0.2455 0.8366  4 O 2.86-3.07
Tl 0.7545 0.1634 0.3582  4 O 2.86-3.07
Tl 0.8366 0.6418 0.2455  4 O 2.86-3.07
Tl 0.8494 0.8494 0.8494  3 O 2.78
Mo 0.0555 0.2351 0.6094  4 O 1.75-1.86
Mo 0.1116 0.7748 0.5097  4 O 1.77-1.86
Mo 0.2252 0.4903 0.8884  4 O 1.77-1.86
Mo 0.2351 0.6094 0.0555  4 O 1.75-1.86
Mo 0.3906 0.9445 0.7649  4 O 1.75-1.86
Mo 0.4903 0.8884 0.2252  4 O 1.77-1.86
Mo 0.5097 0.1116 0.7748  4 O 1.77-1.86
Mo 0.6094 0.0555 0.2351  4 O 1.75-1.86
Mo 0.7649 0.3906 0.9445  4 O 1.75-1.86
Mo 0.7748 0.5097 0.1116  4 O 1.77-1.86
Mo 0.8884 0.2252 0.4903  4 O 1.77-1.86
Mo 0.9445 0.7649 0.3906  4 O 1.75-1.86
Pb 0.5000 0.5000 0.5000  6 O 2.53
O 0.0426 0.2789 0.3354  1 Mo 1.86, 1 Hf 2.08
O 0.0460 0.0768 0.7901  1 Mo 1.85
O 0.0768 0.7901 0.0460  1 Mo 1.85
O 0.0889 0.6568 0.9095  1 Mo 1.79
O 0.0905 0.9111 0.3432  1 Mo 1.79
O 0.1064 0.3329 0.5760  1 Mo 1.75
O 0.1180 0.6501 0.3890  1 Mo 1.76
O 0.1293 0.8368 0.5566  1 Mo 1.77
O 0.1632 0.4434 0.8707  1 Mo 1.77
O 0.1773 0.4602 0.1924  1 Mo 1.86
O 0.1924 0.1773 0.4602  1 Mo 1.86
O 0.2099 0.9540 0.9232  1 Mo 1.85
O 0.2789 0.3354 0.0426  1 Mo 1.86, 1 Hf 2.08
O 0.2797 0.6185 0.4767  1 Mo 1.80
O 0.3329 0.5760 0.1064  1 Mo 1.75
O 0.3354 0.0426 0.2789  1 Mo 1.86, 1 Hf 2.08
O 0.3432 0.0905 0.9111  1 Mo 1.79
O 0.3499 0.6110 0.8820  1 Mo 1.76
O 0.3815 0.5233 0.7203  1 Mo 1.80
O 0.3890 0.1180 0.6501  1 Mo 1.76
O 0.4240 0.8936 0.6671  1 Mo 1.75
O 0.4434 0.8707 0.1632  1 Mo 1.77
O 0.4602 0.1924 0.1773  1 Mo 1.86
O 0.4767 0.2797 0.6185  1 Mo 1.80
O 0.5233 0.7203 0.3815  1 Mo 1.80
O 0.5399 0.8076 0.8227  1 Mo 1.86
O 0.5566 0.1293 0.8368  1 Mo 1.77
O 0.5760 0.1064 0.3329  1 Mo 1.75
O 0.6110 0.8820 0.3499  1 Mo 1.76
O 0.6185 0.4767 0.2797  1 Mo 1.80
O 0.6501 0.3890 0.1180  1 Mo 1.76
O 0.6568 0.9095 0.0889  1 Mo 1.79
O 0.6646 0.9574 0.7211  1 Mo 1.86, 1 Hf 2.08
O 0.6671 0.4240 0.8936  1 Mo 1.75
O 0.7203 0.3815 0.5233  1 Mo 1.80
O 0.7211 0.6646 0.9574  1 Mo 1.86, 1 Hf 2.08
O 0.7901 0.0460 0.0768  1 Mo 1.85
O 0.8076 0.8227 0.5399  1 Mo 1.86
O 0.8227 0.5399 0.8076  1 Mo 1.86
O 0.8368 0.5566 0.1293  1 Mo 1.77
O 0.8707 0.1632 0.4434  1 Mo 1.77
O 0.8820 0.3499 0.6110  1 Mo 1.76
O 0.8936 0.6671 0.4240  1 Mo 1.75
O 0.9095 0.0889 0.6568  1 Mo 1.79
O 0.9111 0.3432 0.0905  1 Mo 1.79
O 0.9232 0.2099 0.9540  1 Mo 1.85
O 0.9540 0.9232 0.2099  1 Mo 1.85
O 0.9574 0.7211 0.6646  1 Mo 1.86, 1 Hf 2.08

## Properties
Total magnetic moment in μB per formula unit: 0.00
Density in g/cm³: 5.6
Final energy in eV per atom: -6.856
Space group: No. 148